[1]
Below is crystalline LaGdSi2Os2 at its relaxed geometry, with properties calculated at the PBE level.

Calculated values
As for the raw total energy: -7.802 eV per atom.

Cell and atoms, written as POSCAR:
```
LaGdSi2Os2
1.0
-0.418 3.260 2.641
-3.422 1.271 -2.109
-4.007 -3.885 4.161
Gd La Os Si
1 1 2 2
direct
0.500 0.500 0.687 Gd
0.000 0.000 0.330 La
0.500 0.000 0.995 Os
0.000 0.500 0.995 Os
0.500 0.500 0.175 Si
0.000 0.000 0.817 Si
```

---

[2]
Below is crystalline Nb2CoSe4S2 at its relaxed geometry, with properties calculated at the PBE level.

Calculated values
As for the raw total energy: -6.181 eV per atom.

Cell and atoms, written as POSCAR:
```
Nb2CoSe4S2
1.0
6.532 -1.657 0.000
6.532 1.657 0.000
-5.337 0.000 9.109
Co Nb S Se
1 2 2 4
direct
0.000 0.000 0.000 Co
0.672 0.672 0.281 Nb
0.328 0.328 0.719 Nb
0.195 0.195 0.124 S
0.805 0.805 0.876 S
0.996 0.996 0.219 Se
0.340 0.340 0.466 Se
0.660 0.660 0.534 Se
0.004 0.004 0.781 Se
```

---

[3]
Below is crystalline TaAlFeNi at its relaxed geometry, with properties calculated at the PBE level.

Calculated values
As for the raw total energy: -7.751 eV per atom.

Cell and atoms, written as POSCAR:
```
TaAlFeNi
1.0
-3.327 1.560 2.088
-2.445 2.935 -1.810
-3.921 -0.984 -1.235
Al Fe Ni Ta
1 1 1 1
direct
0.000 0.000 0.000 Al
0.750 0.750 0.750 Fe
0.250 0.250 0.250 Ni
0.500 0.500 0.500 Ta
```